(1)
A plane-wave DFT calculation with SCAN was carried out for a PBEsol-optimized structure of MgTiF6.

Values from the calculation:
Calculated volume ... 13.960 Å³/atom
D(E_F) ... 0.000 states/eV/f.u.
Space group ... R-3 (148)
Electronic total energy ... -8.976 eV per atom

Cell and atoms, written as POSCAR:
```
MgTiF6
1.0
2.691 1.554 4.450
-2.691 1.554 4.450
0.000 -3.108 4.450
Mg Ti F
1 1 6
direct
0.000 0.000 0.000
0.500 0.500 0.500
0.213 0.302 0.743
0.257 0.787 0.698
0.302 0.743 0.213
0.698 0.257 0.787
0.743 0.213 0.302
0.787 0.698 0.257
```

(2)
A plane-wave DFT calculation with SCAN was carried out for a PBEsol-optimized structure of MgZr2TiF.

Values from the calculation:
Calculated volume ... 20.961 Å³/atom
D(E_F) ... 6.236 states/eV/f.u.
Space group ... P4/mmm (123)
Electronic total energy ... -16.942 eV per atom

Cell and atoms, written as POSCAR:
```
MgZr2TiF
1.0
5.502 0.000 0.000
0.000 5.502 0.000
0.000 0.000 3.462
Mg Zr Ti F
1 2 1 1
direct
0.000 0.000 0.000
0.000 0.500 0.000
0.500 0.000 0.000
0.500 0.500 0.500
0.000 0.000 0.500
```

(3)
A plane-wave DFT calculation with SCAN was carried out for a PBEsol-optimized structure of MgTlF2.

Values from the calculation:
Calculated volume ... 16.140 Å³/atom
D(E_F) ... 1.356 states/eV/f.u.
Space group ... Fm-3m (225)
Electronic total energy ... -22.644 eV per atom

Cell and atoms, written as POSCAR:
```
MgTlF2
1.0
0.000 3.184 3.184
3.184 0.000 3.184
3.184 3.184 0.000
Mg Tl F
1 1 2
direct
0.000 0.000 0.000
0.500 0.500 0.500
0.250 0.250 0.250
0.750 0.750 0.750
```

(4)
A plane-wave DFT calculation with SCAN was carried out for a PBEsol-optimized structure of MgVF6.

Values from the calculation:
Calculated volume ... 13.074 Å³/atom
D(E_F) ... 6.453 states/eV/f.u.
Space group ... R-3 (148)
Electronic total energy ... -8.784 eV per atom

Cell and atoms, written as POSCAR:
```
MgVF6
1.0
2.613 1.509 4.421
-2.613 1.509 4.421
0.000 -3.018 4.421
Mg V F
1 1 6
direct
0.000 0.000 0.000
0.500 0.500 0.500
0.183 0.337 0.740
0.260 0.817 0.663
0.337 0.740 0.183
0.663 0.260 0.817
0.740 0.183 0.337
0.817 0.663 0.260
```

(5)
A plane-wave DFT calculation with SCAN was carried out for a PBEsol-optimized structure of Mg2WF.

Values from the calculation:
Calculated volume ... 17.383 Å³/atom
D(E_F) ... 2.274 states/eV/f.u.
Space group ... Fm-3m (225)
Electronic total energy ... -20.124 eV per atom

Cell and atoms, written as POSCAR:
```
Mg2WF
1.0
0.000 3.264 3.264
3.264 0.000 3.264
3.264 3.264 0.000
Mg W F
2 1 1
direct
0.250 0.250 0.250
0.750 0.750 0.750
0.000 0.000 0.000
0.500 0.500 0.500
```

(6)
A plane-wave DFT calculation with SCAN was carried out for a PBEsol-optimized structure of MgWF6.

Values from the calculation:
Calculated volume ... 14.158 Å³/atom
Space group ... R-3 (148)
Electronic total energy ... -14.937 eV per atom

Cell and atoms, written as POSCAR:
```
MgWF6
1.0
2.664 1.538 4.606
-2.664 1.538 4.606
0.000 -3.077 4.606
Mg W F
1 1 6
direct
0.000 0.000 0.000
0.500 0.500 0.500
0.163 0.748 0.338
0.252 0.662 0.837
0.338 0.163 0.748
0.662 0.837 0.252
0.748 0.338 0.163
0.837 0.252 0.662
```

(7)
A plane-wave DFT calculation with SCAN was carried out for a PBEsol-optimized structure of MgZn3F.

Values from the calculation:
Calculated volume ... 17.117 Å³/atom
D(E_F) ... 1.760 states/eV/f.u.
Space group ... Pm-3m (221)
Electronic total energy ... -10.001 eV per atom

Cell and atoms, written as POSCAR:
```
MgZn3F
1.0
4.407 0.000 0.000
0.000 4.407 0.000
0.000 0.000 4.407
Mg Zn F
1 3 1
direct
0.000 0.000 0.000
0.000 0.500 0.500
0.500 0.000 0.500
0.500 0.500 0.000
0.500 0.500 0.500
```

(8)
A plane-wave DFT calculation with SCAN was carried out for a PBEsol-optimized structure of MgZr2ZnF.

Values from the calculation:
Calculated volume ... 23.188 Å³/atom
D(E_F) ... 5.245 states/eV/f.u.
Space group ... P4/mmm (123)
Electronic total energy ... -15.871 eV per atom

Cell and atoms, written as POSCAR:
```
MgZr2ZnF
1.0
5.114 0.000 0.000
0.000 5.114 0.000
0.000 0.000 4.434
Mg Zr Zn F
1 2 1 1
direct
0.000 0.000 0.000
0.000 0.500 0.000
0.500 0.000 0.000
0.000 0.000 0.500
0.500 0.500 0.500
```

(9)
A plane-wave DFT calculation with SCAN was carried out for a PBEsol-optimized structure of Mg2Zr2F.

Values from the calculation:
Calculated volume ... 23.538 Å³/atom
D(E_F) ... 3.297 states/eV/f.u.
Space group ... I4/mmm (139)
Electronic total energy ... -14.988 eV per atom

Cell and atoms, written as POSCAR:
```
Mg2Zr2F
1.0
-1.881 1.881 8.317
1.881 -1.881 8.317
1.881 1.881 -8.317
Mg Zr F
2 2 1
direct
0.094 0.094 0.000
0.906 0.906 0.000
0.250 0.750 0.500
0.750 0.250 0.500
0.500 0.500 0.000
```

(10)
A plane-wave DFT calculation with SCAN was carried out for a PBEsol-optimized structure of Mn7F16.

Values from the calculation:
Calculated volume ... 13.415 Å³/atom
Space group ... R-3 (148)
Electronic total energy ... -10.861 eV per atom

Cell and atoms, written as POSCAR:
```
Mn7F16
1.0
3.228 1.864 8.547
-3.228 1.864 8.547
0.000 -3.727 8.547
Mn F
7 16
direct
0.000 0.000 0.000
0.110 0.749 0.480
0.251 0.520 0.890
0.480 0.110 0.749
0.520 0.890 0.251
0.749 0.480 0.110
0.890 0.251 0.520
0.037 0.809 0.285
0.140 0.842 0.602
0.158 0.398 0.860
0.191 0.715 0.963
0.235 0.235 0.235
0.285 0.037 0.809
0.398 0.860 0.158
0.431 0.431 0.431
0.569 0.569 0.569
0.602 0.140 0.842
0.715 0.963 0.191
0.765 0.765 0.765
0.809 0.285 0.037
0.842 0.602 0.140
0.860 0.158 0.398
0.963 0.191 0.715
```

(11)
A plane-wave DFT calculation with SCAN was carried out for a PBEsol-optimized structure of Mn7F18.

Values from the calculation:
Calculated volume ... 13.659 Å³/atom
D(E_F) ... 3.378 states/eV/f.u.
Space group ... P-1 (2)
Electronic total energy ... -10.496 eV per atom

Cell and atoms, written as POSCAR:
```
Mn7F18
1.0
5.650 0.000 0.000
2.818 7.280 0.000
2.480 2.442 8.302
Mn F
7 18
direct
0.000 0.000 0.000
0.115 0.419 0.667
0.229 0.890 0.376
0.444 0.719 0.721
0.556 0.281 0.279
0.771 0.110 0.624
0.885 0.581 0.333
0.072 0.663 0.459
0.143 0.906 0.611
0.165 0.180 0.841
0.222 0.932 0.153
0.233 0.463 0.232
0.233 0.800 0.914
0.295 0.524 0.756
0.397 0.088 0.328
0.443 0.302 0.531
0.557 0.698 0.469
0.603 0.912 0.672
0.705 0.476 0.244
0.767 0.200 0.086
0.767 0.537 0.768
0.778 0.068 0.847
0.835 0.820 0.159
0.857 0.094 0.389
0.928 0.337 0.541
```

(12)
A plane-wave DFT calculation with SCAN was carried out for a PBEsol-optimized structure of Mn3F8.

Values from the calculation:
Calculated volume ... 14.228 Å³/atom
Space group ... Cc (9)
Electronic total energy ... -10.297 eV per atom

Cell and atoms, written as POSCAR:
```
Mn3F8
1.0
3.303 -5.779 0.000
3.303 5.779 0.000
-1.850 0.000 8.199
Mn F
6 16
direct
0.076 0.394 0.515
0.078 0.922 0.500
0.394 0.076 0.015
0.553 0.897 0.588
0.897 0.553 0.088
0.922 0.078 0.000
0.011 0.372 0.953
0.115 0.956 0.866
0.189 0.693 0.645
0.214 0.217 0.636
0.217 0.214 0.136
0.247 0.812 0.107
0.344 0.564 0.431
0.372 0.011 0.453
0.564 0.344 0.931
0.637 0.945 0.843
0.693 0.189 0.145
0.797 0.808 0.576
0.808 0.797 0.076
0.812 0.247 0.607
0.945 0.637 0.343
0.956 0.115 0.366
```

(13)
A plane-wave DFT calculation with SCAN was carried out for a PBEsol-optimized structure of MnF2.

Values from the calculation:
Calculated volume ... 12.995 Å³/atom
D(E_F) ... 0.000 states/eV/f.u.
Space group ... P4_2/mnm (136)
Electronic total energy ... -11.327 eV per atom

Cell and atoms, written as POSCAR:
```
MnF2
1.0
4.864 0.000 0.000
0.000 4.864 0.000
0.000 0.000 3.296
Mn F
2 4
direct
0.000 0.000 0.000
0.500 0.500 0.500
0.195 0.195 0.500
0.305 0.695 0.000
0.695 0.305 0.000
0.805 0.805 0.500
```

(14)
A plane-wave DFT calculation with SCAN was carried out for a PBEsol-optimized structure of Mn2MoF.

Values from the calculation:
Calculated volume ... 12.893 Å³/atom
D(E_F) ... 2.007 states/eV/f.u.
Space group ... Fm-3m (225)
Electronic total energy ... -18.633 eV per atom

Cell and atoms, written as POSCAR:
```
Mn2MoF
1.0
0.000 2.954 2.954
2.954 0.000 2.954
2.954 2.954 0.000
Mn Mo F
2 1 1
direct
0.250 0.250 0.250
0.750 0.750 0.750
0.000 0.000 0.000
0.500 0.500 0.500
```

(15)
A plane-wave DFT calculation with SCAN was carried out for a PBEsol-optimized structure of MnMoO2F.

Values from the calculation:
Calculated volume ... 12.407 Å³/atom
D(E_F) ... 2.764 states/eV/f.u.
Space group ... P4/mmm (123)
Electronic total energy ... -15.264 eV per atom

Cell and atoms, written as POSCAR:
```
MnMoO2F
1.0
3.854 0.000 0.000
0.000 3.854 0.000
0.000 0.000 4.177
Mn Mo O F
1 1 2 1
direct
0.000 0.000 0.000
0.500 0.500 0.500
0.000 0.500 0.500
0.500 0.000 0.500
0.500 0.500 0.000
```

(16)
A plane-wave DFT calculation with SCAN was carried out for a PBEsol-optimized structure of MnMo2RuF.

Values from the calculation:
Calculated volume ... 13.322 Å³/atom
D(E_F) ... 4.041 states/eV/f.u.
Space group ... P4/mmm (123)
Electronic total energy ... -24.938 eV per atom

Cell and atoms, written as POSCAR:
```
MnMo2RuF
1.0
4.028 0.000 0.000
0.000 4.028 0.000
0.000 0.000 4.106
Mn Mo Ru F
1 2 1 1
direct
0.000 0.000 0.000
0.000 0.500 0.500
0.500 0.000 0.500
0.500 0.500 0.000
0.000 0.000 0.500
```

(17)
A plane-wave DFT calculation with SCAN was carried out for a PBEsol-optimized structure of MnSiMo2F.

Values from the calculation:
Calculated volume ... 15.858 Å³/atom
D(E_F) ... 3.641 states/eV/f.u.
Space group ... P4/mmm (123)
Electronic total energy ... -19.838 eV per atom

Cell and atoms, written as POSCAR:
```
MnSiMo2F
1.0
4.778 0.000 0.000
0.000 4.778 0.000
0.000 0.000 3.473
Mn Si Mo F
1 1 2 1
direct
0.000 0.000 0.000
0.500 0.500 0.500
0.000 0.500 0.500
0.500 0.000 0.500
0.500 0.500 0.000
```

(18)
A plane-wave DFT calculation with SCAN was carried out for a PBEsol-optimized structure of MnTlMo2F.

Values from the calculation:
Calculated volume ... 15.020 Å³/atom
D(E_F) ... 2.949 states/eV/f.u.
Space group ... P4/mmm (123)
Electronic total energy ... -32.408 eV per atom

Cell and atoms, written as POSCAR:
```
MnTlMo2F
1.0
4.139 0.000 0.000
0.000 4.139 0.000
0.000 0.000 4.383
Mn Tl Mo F
1 1 2 1
direct
0.000 0.000 0.000
0.500 0.500 0.000
0.000 0.500 0.500
0.500 0.000 0.500
0.000 0.000 0.500
```

(19)
A plane-wave DFT calculation with SCAN was carried out for a PBEsol-optimized structure of MnNbNF2.

Values from the calculation:
Calculated volume ... 11.951 Å³/atom
D(E_F) ... 1.986 states/eV/f.u.
Space group ... P4/mmm (123)
Electronic total energy ... -14.466 eV per atom

Cell and atoms, written as POSCAR:
```
MnNbNF2
1.0
3.793 0.000 0.000
0.000 3.793 0.000
0.000 0.000 4.154
Mn Nb N F
1 1 1 2
direct
0.000 0.000 0.000
0.500 0.500 0.500
0.000 0.000 0.500
0.000 0.500 0.000
0.500 0.000 0.000
```

(20)
A plane-wave DFT calculation with SCAN was carried out for a PBEsol-optimized structure of MnNiNF2.

Values from the calculation:
Calculated volume ... 10.824 Å³/atom
D(E_F) ... 3.496 states/eV/f.u.
Space group ... P4/mmm (123)
Offset from the most stable computed form ... 119.2 meV per atom

Cell and atoms, written as POSCAR:
```
MnNiNF2
1.0
3.876 0.000 0.000
0.000 3.876 0.000
0.000 0.000 3.602
Mn Ni N F
1 1 1 2
direct
0.000 0.000 0.000
0.500 0.500 0.500
0.000 0.000 0.500
0.000 0.500 0.000
0.500 0.000 0.000
```